1.
# InBiPb3

InBiPb3 after structural relaxation (PBE-GGA, Alexandria via LeMat-Bulk).

## Properties
Size of the total moment in μB/atom: 0.0000
Space group: No. 2
Excess energy over the best structure of this formula in the dataset in meV per atom: 0
Density of states at the Fermi level in states/eV/atom: 0.47
Crystal system: triclinic
Energy of formation from the pure elements in kJ/mol of formula units: 9.5

Geometry as POSCAR:
```
InBiPb3
1.0
6.0677 0.0000 0.0000
-1.8246 6.7192 0.0000
-1.3263 -2.1967 7.6164
In Bi Pb
2 2 6
direct
0.0982 0.4491 0.1952 In
0.9018 0.5509 0.8048 In
0.2832 0.8381 0.5996 Bi
0.7168 0.1619 0.4004 Bi
0.1091 0.9505 0.2026 Pb
0.3027 0.3505 0.6002 Pb
0.4961 0.2481 0.0006 Pb
0.5039 0.7519 0.9994 Pb
0.6973 0.6495 0.3998 Pb
0.8909 0.0495 0.7974 Pb
```



2.
# LaMgPdPt

LaMgPdPt after structural relaxation (PBE-GGA, Alexandria via LeMat-Bulk).

## Properties
Size of the total moment in μB/atom: 0.0000
Space group: No. 216
Excess energy over the best structure of this formula in the dataset in meV per atom: 95
Density of states at the Fermi level in states/eV/atom: 0.78
Crystal system: cubic
Energy of formation from the pure elements in kJ/mol of formula units: -311.2

Geometry as POSCAR:
```
LaMgPdPt
1.0
0.0000 3.4867 3.4867
3.4867 0.0000 3.4867
3.4867 3.4867 0.0000
La Mg Pd Pt
1 1 1 1
direct
0.0000 0.0000 0.0000 La
0.5000 0.5000 0.5000 Mg
0.2500 0.2500 0.2500 Pd
0.7500 0.7500 0.7500 Pt
```



3.
# PdN2

PdN2 after structural relaxation (PBE-GGA, Alexandria via LeMat-Bulk).

## Properties
Size of the total moment in μB/atom: 0.0000
Space group: No. 71
ΔE_f (raw) in eV per formula unit: 1.0
Density of states at the Fermi level in states/eV/atom: 0.21
Crystal system: orthorhombic

Geometry as POSCAR:
```
PdN2
1.0
-1.4728 2.5113 4.0390
1.4728 -2.5113 4.0390
1.4728 2.5113 -4.0390
Pd N
1 2
direct
0.0000 0.0000 0.0000 Pd
0.3867 0.0000 0.3867 N
0.6133 0.0000 0.6133 N
```



4.
# RbSnBr4

RbSnBr4 after structural relaxation (PBE-GGA, Alexandria via LeMat-Bulk).

## Properties
Size of the total moment in μB/atom: 0.0000
Space group: No. 2
ΔE_f (raw) in eV per formula unit: -5.9
Density of states at the Fermi level in states/eV/atom: 0.47
Crystal system: triclinic

Geometry as POSCAR:
```
RbSnBr4
1.0
4.5011 0.0000 0.0000
-2.2408 8.7296 0.0000
-0.0057 -4.5740 11.7425
Rb Sn Br
2 2 8
direct
0.2491 0.0001 0.2500 Rb
0.7509 0.9999 0.7500 Rb
0.0000 0.5000 0.5000 Sn
0.5000 0.5000 0.0000 Sn
0.0282 0.5566 0.1534 Br
0.1643 0.8275 0.5265 Br
0.3371 0.1724 0.9734 Br
0.4716 0.4433 0.3465 Br
0.5284 0.5567 0.6535 Br
0.6629 0.8276 0.0266 Br
0.8357 0.1725 0.4735 Br
0.9718 0.4434 0.8466 Br
```



5.
# Li2TaSi

Li2TaSi after structural relaxation (PBE-GGA, Alexandria via LeMat-Bulk).

## Properties
Size of the total moment in μB/atom: 0.0008
Space group: No. 119
ΔE_f (raw) in eV per formula unit: 0.5
Density of states at the Fermi level in states/eV/atom: 0.92
Crystal system: tetragonal

Geometry as POSCAR:
```
Li2TaSi
1.0
-2.1620 2.1620 3.0935
2.1620 -2.1620 3.0935
2.1620 2.1620 -3.0935
Li Ta Si
2 1 1
direct
0.0000 0.0000 0.0000 Li
0.7500 0.2500 0.5000 Li
0.5000 0.5000 0.0000 Ta
0.2500 0.7500 0.5000 Si
```